# KRb2BiO4 PBE optimized geometry
data_KRb2BiO4
_chemical_formula_sum 'K4 Rb8 Bi4 O16'
_cell_length_a 7.1153
_cell_length_b 7.6063
_cell_length_c 11.5349
_cell_angle_alpha 90.00
_cell_angle_beta 90.00
_cell_angle_gamma 90.00
_space_group_name_H-M_alt 'I m m a'
_space_group_IT_number 74
_space_group_name_Hall '-I 2b 2'
loop_
_atom_site_label
_atom_site_fract_x
_atom_site_fract_y
_atom_site_fract_z
K1 0.0000 0.0000 0.0000
Rb1 0.0000 0.0000 0.5000
Rb2 0.2500 0.2500 0.2500
Bi1 0.2500 0.2500 0.7500
O1 0.0000 0.0520 0.7504
O2 0.2431 0.2500 0.9291
# - Uncorrected formation energy: -9.494 eV/f.u.
# - Uncorrected energy: -144.96 eV per cell